(1)
Compound: TlZnCl3
Source: Alexandria
Functional: PBE
Structure: relaxed

Structure (POSCAR):
```
TlZnCl3
1.0
5.375 0.000 0.000
0.000 5.375 0.000
2.687 2.687 11.777
Cl Zn Tl
6 2 2
Direct
0.690 0.690 0.619
0.310 0.310 0.381
0.132 0.883 0.234
0.634 0.883 0.234
0.117 0.868 0.766
0.117 0.366 0.766
0.803 0.303 0.395
0.697 0.197 0.605
0.000 0.000 0.000
0.250 0.750 0.500
```

Results
The uncorrected formation energy comes out at -0.357 eV per atom. The space group is I-4m2. The calculation puts the total magnetic moment at 0.000 μB/cell.


(2)
Compound: Tl2Zn2Cl5
Source: Alexandria
Functional: PBE
Structure: relaxed

Structure (POSCAR):
```
Tl2Zn2Cl5
1.0
5.309 0.000 0.000
-2.654 6.891 -0.623
0.000 -1.678 7.250
Tl Zn Cl
2 2 5
Direct
0.398 0.796 0.681
0.602 0.204 0.319
0.846 0.692 0.108
0.154 0.308 0.892
0.157 0.314 0.575
0.843 0.686 0.425
0.659 0.318 0.923
0.341 0.682 0.077
0.000 0.000 0.000
```

Results
The uncorrected formation energy comes out at -0.863 eV per atom. The space group is C2/m. The calculation puts the total magnetic moment at 0.000 μB/cell.